1.
Entry from Alexandria via LeMat-Bulk: a crystal of BeAgCl3 relaxed with PBEsol (meta-GGA SCAN).

```
5
Lattice="4.905 0.000 0.000 0.000 4.905 0.000 0.000 0.000 4.905" Properties=species:S:1:pos:R:3 pbc="T T T"
Be 0.000 0.000 0.000
Ag 2.452 2.452 2.452
Cl 0.000 2.452 2.452
Cl 2.452 0.000 2.452
Cl 2.452 2.452 0.000
```

## Properties
The value obtained for the uncorrected formation energy is 0.16 eV per atom. Its crystal system is cubic. The value obtained for the magnetization is 1.0 μB per cell.



2.
Entry from Alexandria via LeMat-Bulk: a crystal of BeAgSCl2 relaxed with PBEsol (meta-GGA SCAN).

```
5
Lattice="4.436 0.000 0.000 0.000 4.436 0.000 0.000 0.000 4.427" Properties=species:S:1:pos:R:3 pbc="T T T"
Be 0.000 0.000 0.000
Ag 2.218 2.218 2.213
S 0.000 0.000 2.213
Cl 0.000 2.218 0.000
Cl 2.218 0.000 0.000
```

## Properties
The value obtained for the uncorrected formation energy is -0.27 eV per atom. Its crystal system is tetragonal. The value obtained for the magnetization is 1.0 μB per cell.



3.
Entry from Alexandria via LeMat-Bulk: a crystal of BeTl2AgCl relaxed with PBEsol (meta-GGA SCAN).

```
5
Lattice="5.445 0.000 0.000 0.000 5.445 0.000 0.000 0.000 4.419" Properties=species:S:1:pos:R:3 pbc="T T T"
Be 0.000 0.000 0.000
Tl 0.000 2.722 2.209
Tl 2.722 0.000 2.209
Ag 0.000 0.000 2.209
Cl 2.722 2.722 0.000
```

## Properties
The value obtained for the uncorrected formation energy is 0.07 eV per atom. The energy above the most stable polymorph in this dataset comes out at 111 meV per atom. Its crystal system is tetragonal. The value obtained for the magnetization is 0.0 μB per cell.



4.
Entry from Alexandria via LeMat-Bulk: a crystal of BeTl2AgCl relaxed with PBEsol (meta-GGA SCAN).

```
5
Lattice="5.050 0.000 0.000 0.000 5.050 0.000 0.000 0.000 4.486" Properties=species:S:1:pos:R:3 pbc="T T T"
Be 0.000 0.000 0.000
Tl 0.000 2.525 0.000
Tl 2.525 0.000 0.000
Ag 0.000 0.000 2.243
Cl 2.525 2.525 2.243
```

## Properties
The value obtained for the uncorrected formation energy is -0.04 eV per atom. The energy above the most stable polymorph in this dataset comes out at 0 meV per atom. Its crystal system is tetragonal. The value obtained for the magnetization is 0.0 μB per cell.



5.
Entry from Alexandria via LeMat-Bulk: a crystal of BeCo2Ag relaxed with PBEsol (meta-GGA SCAN).

```
4
Lattice="3.429 0.000 0.000 0.000 3.429 0.000 0.000 0.000 3.873" Properties=species:S:1:pos:R:3 pbc="T T T"
Be 0.000 0.000 0.000
Co 0.000 1.715 1.937
Co 1.715 0.000 1.937
Ag 1.715 1.715 0.000
```

## Properties
Its crystal system is tetragonal. The value obtained for the magnetization is 3.3 μB per cell. The value obtained for the formation enthalpy at 0 K is 75 kJ/mol of formula units.



6.
Entry from Alexandria via LeMat-Bulk: a crystal of BeCo2Ag relaxed with PBEsol (meta-GGA SCAN).

```
4
Lattice="1.293 0.746 7.975 -1.293 0.746 7.975 0.000 -1.493 7.975" Properties=species:S:1:pos:R:3 pbc="T T T"
Be 0.000 0.000 0.000
Co 0.000 0.000 11.552
Co 0.000 0.000 17.672
Ag 0.000 0.000 5.888
```

## Properties
Its crystal system is trigonal. The value obtained for the magnetization is 3.4 μB per cell. The value obtained for the formation enthalpy at 0 K is 83 kJ/mol of formula units.



7.
Entry from Alexandria via LeMat-Bulk: a crystal of BeCoAg relaxed with PBEsol (meta-GGA SCAN).

```
3
Lattice="0.000 2.752 2.752 2.752 0.000 2.752 2.752 2.752 0.000" Properties=species:S:1:pos:R:3 pbc="T T T"
Be 0.000 0.000 0.000
Co 4.129 4.129 4.129
Ag 2.752 2.752 2.752
```

## Properties
The energy above the most stable polymorph in this dataset comes out at 529 meV per atom. Its crystal system is cubic. The value obtained for the magnetization is 1.8 μB per cell. The value obtained for the formation enthalpy at 0 K is 208 kJ/mol of formula units.



8.
Entry from Alexandria via LeMat-Bulk: a crystal of BeCoAg relaxed with PBEsol (meta-GGA SCAN).

```
3
Lattice="-1.341 1.341 4.716 1.341 -1.341 4.716 1.341 1.341 -4.716" Properties=species:S:1:pos:R:3 pbc="T T T"
Be 0.000 0.000 0.000
Co 0.000 0.000 5.828
Ag 0.000 0.000 3.032
```

## Properties
The energy above the most stable polymorph in this dataset comes out at 0 meV per atom. Its crystal system is tetragonal. The value obtained for the magnetization is 1.1 μB per cell. The value obtained for the formation enthalpy at 0 K is 55 kJ/mol of formula units.



9.
Entry from Alexandria via LeMat-Bulk: a crystal of BeCoAg relaxed with PBEsol (meta-GGA SCAN).

```
3
Lattice="3.951 0.000 0.000 -1.976 3.422 0.000 0.000 0.000 2.610" Properties=species:S:1:pos:R:3 pbc="T T T"
Be 0.000 0.000 0.000
Co 0.000 2.281 2.264
Ag 1.976 1.141 1.039
```

## Properties
The energy above the most stable polymorph in this dataset comes out at 57 meV per atom. Its crystal system is trigonal. The value obtained for the magnetization is 1.8 μB per cell. The value obtained for the formation enthalpy at 0 K is 72 kJ/mol of formula units.



10.
Entry from Alexandria via LeMat-Bulk: a crystal of Be2CoAgPt relaxed with PBEsol (meta-GGA SCAN).

```
5
Lattice="4.082 0.000 0.000 0.000 4.082 0.000 0.000 0.000 4.505" Properties=species:S:1:pos:R:3 pbc="T T T"
Be 0.000 2.041 0.000
Be 2.041 0.000 0.000
Co 0.000 0.000 2.253
Ag 0.000 0.000 0.000
Pt 2.041 2.041 2.253
```

## Properties
Its crystal system is tetragonal. The value obtained for the magnetization is 2.2 μB per cell. The value obtained for the formation enthalpy at 0 K is 536 kJ/mol of formula units.



11.
Entry from Alexandria via LeMat-Bulk: a crystal of BeCr4Ag relaxed with PBEsol (meta-GGA SCAN).

```
6
Lattice="0.000 3.316 3.316 3.316 0.000 3.316 3.316 3.316 0.000" Properties=species:S:1:pos:R:3 pbc="T T T"
Be 0.000 0.000 0.000
Cr 2.476 2.476 2.476
Cr 4.156 4.156 2.476
Cr 4.156 2.476 4.156
Cr 2.476 4.156 4.156
Ag 4.974 4.974 4.974
```

## Properties
Its crystal system is cubic. The value obtained for the magnetization is 0.0 μB per cell. The value obtained for the formation enthalpy at 0 K is 342 kJ/mol of formula units.



12.
Entry from Alexandria via LeMat-Bulk: a crystal of BeNbCr2Ag relaxed with PBEsol (meta-GGA SCAN).

```
5
Lattice="4.745 0.000 0.000 0.000 4.745 0.000 0.000 0.000 4.934" Properties=species:S:1:pos:R:3 pbc="T T T"
Be 0.000 0.000 0.000
Nb 2.372 2.372 0.000
Cr 0.000 2.372 2.467
Cr 2.372 0.000 2.467
Ag 2.372 2.372 2.467
```

## Properties
Its crystal system is tetragonal. The value obtained for the magnetization is 7.0 μB per cell. The value obtained for the formation enthalpy at 0 K is 829 kJ/mol of formula units.